A plane-wave DFT calculation with GGA-PBE was carried out for InRh2Cl after structural relaxation.

Values from the calculation:
N(E_F): 1.106 states/eV per atom
raw formation energy: 0.160 eV per atom
SG: R3m, No. 160
energy relative to the lowest polymorph listed for this composition: 187 meV per atom
crystal system: trigonal

Lattice parameters (Å, degrees): 8.375 8.375 8.375 21.84 21.84 21.84
Site moments in Bohr magnetons follow the coordinates.
Positions (direct):
In: 0.746 0.746 0.746  -0.01
Rh: 0.251 0.251 0.251  1.03
Rh: 0.998 0.998 0.998  0.47
Cl: 0.504 0.504 0.504  0.03

---

A plane-wave DFT calculation with GGA-PBE was carried out for InRhCl after structural relaxation.

Values from the calculation:
N(E_F): 0.375 states/eV per atom
raw formation energy: -0.175 eV per atom
SG: Cm, No. 8
energy relative to the lowest polymorph listed for this composition: 123 meV per atom
crystal system: monoclinic

Lattice parameters (Å, degrees): 3.356 3.353 6.573 75.14 90.09 120.05
Positions (direct):
Rh: 0.623 0.360 0.943
In: 0.194 0.500 0.232
Cl: 0.753 0.619 0.554

---

A plane-wave DFT calculation with GGA-PBE was carried out for InRh2Cl after structural relaxation.

Values from the calculation:
N(E_F): 1.301 states/eV per atom
raw formation energy: 0.303 eV per atom
SG: Fm-3m, No. 225
energy relative to the lowest polymorph listed for this composition: 330 meV per atom
crystal system: cubic

Lattice parameters (Å, degrees): 4.581 4.581 4.581 60.00 60.00 60.00
Site moments in Bohr magnetons follow the coordinates.
Positions (direct):
In: 0.500 0.500 0.500  -0.04
Rh: 0.250 0.250 0.250  0.70
Cl: 0.000 0.000 0.000  0.12
Rh: 0.750 0.750 0.750  0.70

---

A plane-wave DFT calculation with GGA-PBE was carried out for InRhCl4 after structural relaxation.

Values from the calculation:
N(E_F): 0.402 states/eV per atom
raw formation energy: 0.645 eV per atom
SG: F-43m, No. 216
crystal system: cubic

Lattice parameters (Å, degrees): 5.992 5.992 5.992 60.00 60.00 60.00
Site moments in Bohr magnetons follow the coordinates.
Positions (direct):
Cl: 0.877 0.374 0.374  0.46
In: 0.750 0.750 0.750  0.00
Rh: 0.000 0.000 0.000  1.71
Cl: 0.374 0.877 0.374  0.46
Cl: 0.374 0.374 0.877  0.46
Cl: 0.374 0.374 0.374  0.46

---

A plane-wave DFT calculation with GGA-PBE was carried out for InRh2Cl after structural relaxation.

Values from the calculation:
N(E_F): 0.890 states/eV per atom
raw formation energy: 0.171 eV per atom
SG: Cmmm, No. 65
energy relative to the lowest polymorph listed for this composition: 198 meV per atom
crystal system: orthorhombic

Lattice parameters (Å, degrees): 3.082 3.082 8.409 90.00 90.00 120.19
Positions (direct):
In: 0.500 0.500 0.750
Rh: 0.000 0.000 0.009
Cl: 0.500 0.500 0.250
Rh: 0.000 0.000 0.491

---

A plane-wave DFT calculation with GGA-PBE was carried out for In4RhCl2 after structural relaxation.

Values from the calculation:
N(E_F): 0.572 states/eV per atom
raw formation energy: -0.458 eV per atom
SG: I4/mmm, No. 139
crystal system: tetragonal

Lattice parameters (Å, degrees): 5.177 5.177 8.918 106.87 106.87 90.00
Positions (direct):
Rh: 0.000 0.000 0.000
In: 0.000 0.500 0.000
Cl: 0.677 0.677 0.354
In: 0.840 0.840 0.681
Cl: 0.323 0.323 0.646
In: 0.500 0.000 0.000
In: 0.160 0.160 0.319